# PBE ScOsPb2, relaxed
# magnetization = 0.2 Bohr magnetons per cell
# total energy = -23.5 eV/f.u.
# formation energy from the elements = 0.370 eV/atom
data_ScOsPb2
_space_group_name_H-M_alt 'P 4/m m m'
_space_group_IT_number 123
_space_group_name_Hall '-P 4 2'
_cell_length_a 3.387
_cell_length_b 3.387
_cell_length_c 7.443
_cell_angle_alpha 90.00
_cell_angle_beta 90.00
_cell_angle_gamma 90.00
loop_
_atom_site_label
_atom_site_type_symbol
_atom_site_fract_x
_atom_site_fract_y
_atom_site_fract_z
Sc1 Sc 0.000 0.000 0.000
Os1 Os 0.000 0.000 0.500
Pb1 Pb 0.500 0.500 0.275

---

# PBE Sc2Os2Pb, relaxed
# magnetization = 0.0 Bohr magnetons per cell
# total energy = -38.7 eV/f.u.
# formation energy from the elements = 0.032 eV/atom
data_Sc2Os2Pb
_space_group_name_H-M_alt 'P 4/m b m'
_space_group_IT_number 127
_space_group_name_Hall '-P 4 2ab'
_cell_length_a 7.602
_cell_length_b 7.602
_cell_length_c 3.315
_cell_angle_alpha 90.00
_cell_angle_beta 90.00
_cell_angle_gamma 90.00
loop_
_atom_site_label
_atom_site_type_symbol
_atom_site_fract_x
_atom_site_fract_y
_atom_site_fract_z
Sc1 Sc 0.154 0.346 0.000
Os1 Os 0.142 0.642 0.500
Pb1 Pb 0.000 0.000 0.500

---

# PBE ScOsPb2, relaxed
# magnetization = 0.0 Bohr magnetons per cell
# total energy = -23.5 eV/f.u.
# formation energy from the elements = 0.369 eV/atom
data_ScOsPb2
_space_group_name_H-M_alt 'I -4 m 2'
_space_group_IT_number 119
_space_group_name_Hall 'I -4 -2'
_cell_length_a 4.311
_cell_length_b 4.311
_cell_length_c 9.209
_cell_angle_alpha 90.00
_cell_angle_beta 90.00
_cell_angle_gamma 90.00
loop_
_atom_site_label
_atom_site_type_symbol
_atom_site_fract_x
_atom_site_fract_y
_atom_site_fract_z
Sc1 Sc 0.000 0.000 0.000
Os1 Os 0.000 0.500 0.750
Pb1 Pb 0.000 0.000 0.500
Pb2 Pb 0.000 0.500 0.250